1:
Density functional theory data (PBE) for a relaxed Sr3Ac2Tl4 crystal.

## Properties
N(E_F): 8.271 states/eV per cell
Magnetic moment: 0.00 μB per formula unit

```
9
Lattice="5.842 0.001 0.001 2.920 5.041 0.182 -0.002 -0.441 11.197" Properties=species:S:1:pos:R:3 pbc="T T T"
Sr 2.920 1.506 4.689
Sr 0.000 0.000 0.000
Sr 5.840 3.094 6.691
Ac 2.919 1.325 9.007
Ac 5.841 3.275 2.373
Tl 5.840 2.967 10.143
Tl 5.841 -0.137 3.843
Tl 2.919 4.738 7.537
Tl 2.921 1.633 1.237
```

---

2:
Density functional theory data (PBE) for a relaxed Sr3Ac2Tl4 crystal.

## Properties
N(E_F): 14.397 states/eV per cell
Magnetic moment: 0.00 μB per formula unit

```
18
Lattice="7.516 0.000 0.000 0.000 8.754 0.000 -3.758 0.000 10.294" Properties=species:S:1:pos:R:3 pbc="T T T"
Sr 0.000 0.000 0.000
Sr 3.758 4.377 0.000
Sr 1.879 6.565 5.424
Sr 5.637 2.188 4.870
Sr 1.879 2.188 4.870
Sr -1.879 6.565 5.424
Ac 0.000 5.150 1.886
Ac 3.758 3.604 8.408
Ac 0.000 0.773 8.408
Ac 3.758 7.980 1.886
Tl 1.879 6.565 8.838
Tl 5.637 2.188 1.456
Tl 1.879 2.188 1.456
Tl -1.879 6.565 8.838
Tl 0.000 8.455 3.291
Tl 3.758 0.298 7.003
Tl 0.000 4.079 7.003
Tl 3.758 4.675 3.291
```

---

The most stable arrangement is 1, and the next structure is 68 meV/atom less stable.

---

1:
Density functional theory data (PBE) for a relaxed Sr2AcTl crystal.

## Properties
N(E_F): 6.491 states/eV per cell
Magnetic moment: 0.00 μB per formula unit

```
8
Lattice="-3.364 -0.970 2.090 -0.906 -3.510 -7.063 4.961 -8.971 3.821" Properties=species:S:1:pos:R:3 pbc="T T T"
Sr 1.489 -5.054 0.050
Sr -0.798 -8.397 -1.202
Sr 1.108 -11.844 0.266
Sr -0.417 -1.607 -1.418
Ac -1.049 -5.778 -4.370
Ac 1.740 -7.673 3.219
Tl -1.805 -4.834 -1.173
Tl 2.496 -8.617 0.022
```

---

2:
Density functional theory data (PBE) for a relaxed Sr2AcTl crystal.

## Properties
N(E_F): 4.851 states/eV per cell
Magnetic moment: 0.00 μB per formula unit

```
4
Lattice="-0.270 -0.101 4.066 -2.640 -2.527 1.805 7.453 -9.429 2.302" Properties=species:S:1:pos:R:3 pbc="T T T"
Sr 5.650 -7.598 2.228
Sr 0.836 -2.709 2.031
Ac 2.259 -6.015 4.086
Tl -1.930 -1.762 3.914
```

---

3:
Density functional theory data (PBE) for a relaxed Sr2AcTl crystal.

## Properties
N(E_F): 3.524 states/eV per cell
Magnetic moment: 0.00 μB per formula unit

```
4
Lattice="-4.544 -2.596 3.244 -4.832 -2.474 -2.906 -0.742 -6.112 -0.086" Properties=species:S:1:pos:R:3 pbc="T T T"
Sr -2.529 -2.795 0.063
Sr -7.588 -8.386 0.189
Ac 0.000 0.000 0.000
Tl -5.059 -5.591 0.126
```

---

4:
Density functional theory data (PBE) for a relaxed Sr2AcTl crystal.

## Properties
N(E_F): 2.246 states/eV per cell
Magnetic moment: 0.00 μB per formula unit

```
4
Lattice="-3.460 3.769 -2.539 -3.662 -0.844 3.736 2.090 3.891 2.928" Properties=species:S:1:pos:R:3 pbc="T T T"
Sr 1.045 1.945 1.464
Sr -1.831 -0.422 1.868
Ac -2.516 3.408 2.062
Tl -1.730 1.885 -1.269
```

---

The most stable arrangement is 1, and the next structure is 67 meV/atom less stable.